Crystalline AcPr7Er4 at its relaxed geometry. Source: Alexandria, functional GGA-PBE.

The total magnetic moment is 0.00 μB per cell. The value obtained for the energy of formation from the pure elements is 0.13 eV/f.u. For the volume, the calculation gives 34.96 A^3/atom.

It has space group P-1 (No. 2), with a = 6.4059 Å, b = 7.3995 Å, c = 9.1056 Å, α = 89.99°, β = 76.42° and γ = 89.95°. The inequivalent atoms are Ac at (0.0000, 0.0000, 0.0000), Pr at (0.0000, 0.5000, 0.0000), Pr at (0.2261, 0.0004, 0.3383), Pr at (0.2833, 0.2548, 0.6617), Pr at (0.4995, 0.2572, 0.0034), Er at (0.2165, 0.5007, 0.3366) and Er at (0.2780, 0.7405, 0.6639).